a:
Compound: HfSnS2N
Source: Alexandria via LeMat-Bulk
Functional: PBE
Structure: relaxed

Unit cell a=4.9815 b=4.9815 c=3.8822 alpha=90.00 beta=90.00 gamma=90.00
Atoms (fractional coordinates):
Sn  0.0000  0.0000  0.0000
S  0.5000  0.0000  0.0000
S  0.0000  0.5000  0.0000
N  0.0000  0.0000  0.5000
Hf  0.5000  0.5000  0.5000

## Properties
The total magnetization comes out at 0.091 μB per atom. Its symmetry is P4/mmm (123). The calculation puts the density of states at the Fermi level at 0.274 states/eV per atom.


b:
Compound: HfSnS2N
Source: Alexandria via LeMat-Bulk
Functional: PBE
Structure: relaxed

Unit cell a=5.0514 b=5.0514 c=4.1174 alpha=90.00 beta=90.00 gamma=90.00
Atoms (fractional coordinates):
Sn  0.5000  0.5000  0.5000
N  0.0000  0.0000  0.5000
S  0.5000  0.0000  0.0000
S  0.0000  0.5000  0.0000
Hf  0.0000  0.0000  0.0000

## Properties
The total magnetization comes out at 0.199 μB per atom. Its symmetry is P4/mmm (123). The calculation puts the density of states at the Fermi level at 0.455 states/eV per atom.


Which of them is the most stable, and which is the least stable? b and a, in that order.


a:
Compound: HfTcSN2
Source: Alexandria via LeMat-Bulk
Functional: PBE
Structure: relaxed

Unit cell a=3.8408 b=3.8408 c=4.7679 alpha=90.00 beta=90.00 gamma=90.00
Atoms (fractional coordinates):
N  0.0000  0.5000  0.0000
N  0.5000  0.0000  0.0000
S  0.0000  0.0000  0.5000
Hf  0.5000  0.5000  0.5000
Tc  0.0000  0.0000  0.0000

## Properties
The total magnetization comes out at 0.000 μB per atom. Its symmetry is P4/mmm (123). The calculation puts the density of states at the Fermi level at 0.554 states/eV per atom.


b:
Compound: HfTcSN2
Source: Alexandria via LeMat-Bulk
Functional: PBE
Structure: relaxed

Unit cell a=4.0617 b=4.0617 c=5.2501 alpha=90.00 beta=90.00 gamma=90.00
Atoms (fractional coordinates):
N  0.0000  0.5000  0.0000
N  0.5000  0.0000  0.0000
Hf  0.0000  0.0000  0.0000
S  0.0000  0.0000  0.5000
Tc  0.5000  0.5000  0.5000

## Properties
The total magnetization comes out at 1.053 μB per atom. Its symmetry is P4/mmm (123). The calculation puts the density of states at the Fermi level at 0.555 states/eV per atom.


Which of them is the most stable, and which is the least stable? a and b, in that order.


a:
Compound: HfTcS2N
Source: Alexandria via LeMat-Bulk
Functional: PBE
Structure: relaxed

Unit cell a=4.7731 b=3.6719 c=4.7731 alpha=90.00 beta=90.00 gamma=90.00
Atoms (fractional coordinates):
S  0.0000  0.0000  0.5000
S  0.5000  0.0000  0.0000
Tc  0.0000  0.0000  0.0000
N  0.0000  0.5000  0.0000
Hf  0.5000  0.5000  0.5000

## Properties
The total magnetization comes out at 0.000 μB per atom. Its symmetry is P4/mmm (123). The calculation puts the density of states at the Fermi level at 0.927 states/eV per atom.


b:
Compound: HfTcS2N
Source: Alexandria via LeMat-Bulk
Functional: PBE
Structure: relaxed

Unit cell a=4.9950 b=4.9950 c=4.0497 alpha=90.00 beta=90.00 gamma=90.00
Atoms (fractional coordinates):
S  0.5000  0.0000  0.0000
S  0.0000  0.5000  0.0000
Hf  0.0000  0.0000  0.0000
N  0.0000  0.0000  0.5000
Tc  0.5000  0.5000  0.5000

## Properties
The total magnetization comes out at 0.826 μB per atom. Its symmetry is P4/mmm (123). The calculation puts the density of states at the Fermi level at 0.638 states/eV per atom.


Which of them is the most stable, and which is the least stable? a and b, in that order.


a:
Compound: HfTiS2N
Source: Alexandria via LeMat-Bulk
Functional: PBE
Structure: relaxed

Unit cell a=4.9427 b=4.9427 c=3.9711 alpha=90.00 beta=90.00 gamma=90.00
Atoms (fractional coordinates):
Hf  0.0000  0.0000  0.0000
S  0.5000  0.0000  0.0000
S  0.0000  0.5000  0.0000
Ti  0.5000  0.5000  0.5000
N  0.0000  0.0000  0.5000

## Properties
The total magnetization comes out at 0.001 μB per atom. Its symmetry is P4/mmm (123). The calculation puts the density of states at the Fermi level at 1.208 states/eV per atom.


b:
Compound: HfTiS2N
Source: Alexandria via LeMat-Bulk
Functional: PBE
Structure: relaxed

Unit cell a=4.7334 b=4.7334 c=3.7041 alpha=90.00 beta=90.00 gamma=90.00
Atoms (fractional coordinates):
Ti  0.0000  0.0000  0.0000
S  0.0000  0.5000  0.0000
S  0.5000  0.0000  0.0000
Hf  0.5000  0.5000  0.5000
N  0.0000  0.0000  0.5000

## Properties
The total magnetization comes out at 0.016 μB per atom. Its symmetry is P4/mmm (123). The calculation puts the density of states at the Fermi level at 0.686 states/eV per atom.


Which of them is the most stable, and which is the least stable? b and a, in that order.


a:
Compound: HfWS2N
Source: Alexandria via LeMat-Bulk
Functional: PBE
Structure: relaxed

Unit cell a=4.9701 b=4.9701 c=3.9481 alpha=90.00 beta=90.00 gamma=90.00
Atoms (fractional coordinates):
W  0.5000  0.5000  0.5000
S  0.0000  0.5000  0.0000
S  0.5000  0.0000  0.0000
N  0.0000  0.0000  0.5000
Hf  0.0000  0.0000  0.0000

## Properties
The total magnetization comes out at 0.651 μB per atom. Its symmetry is P4/mmm (123). The calculation puts the density of states at the Fermi level at 0.633 states/eV per atom.


b:
Compound: HfWS2N
Source: Alexandria via LeMat-Bulk
Functional: PBE
Structure: relaxed

Unit cell a=4.7945 b=4.7945 c=3.7621 alpha=90.00 beta=90.00 gamma=90.00
Atoms (fractional coordinates):
S  0.5000  0.0000  0.0000
S  0.0000  0.5000  0.0000
Hf  0.5000  0.5000  0.5000
W  0.0000  0.0000  0.0000
N  0.0000  0.0000  0.5000

## Properties
The total magnetization comes out at 0.000 μB per atom. Its symmetry is P4/mmm (123). The calculation puts the density of states at the Fermi level at 0.929 states/eV per atom.


Which of them is the most stable, and which is the least stable? b and a, in that order.


a:
Compound: YHfS2N
Source: Alexandria via LeMat-Bulk
Functional: PBE
Structure: relaxed

Unit cell a=5.1455 b=5.1455 c=3.9877 alpha=90.00 beta=90.00 gamma=90.00
Atoms (fractional coordinates):
N  0.0000  0.0000  0.5000
S  0.5000  0.0000  0.0000
S  0.0000  0.5000  0.0000
Y  0.0000  0.0000  0.0000
Hf  0.5000  0.5000  0.5000

## Properties
The total magnetization comes out at 0.081 μB per atom. Its symmetry is P4/mmm (123). The calculation puts the density of states at the Fermi level at 0.272 states/eV per atom.


b:
Compound: YHfS2N
Source: Alexandria via LeMat-Bulk
Functional: PBE
Structure: relaxed

Unit cell a=4.9671 b=4.9671 c=4.0244 alpha=90.00 beta=90.00 gamma=90.00
Atoms (fractional coordinates):
Y  0.5000  0.5000  0.5000
S  0.0000  0.5000  0.0000
S  0.5000  0.0000  0.0000
Hf  0.0000  0.0000  0.0000
N  0.0000  0.0000  0.5000

## Properties
The total magnetization comes out at 0.000 μB per atom. Its symmetry is P4/mmm (123). The calculation puts the density of states at the Fermi level at 0.225 states/eV per atom.


Which of them is the most stable, and which is the least stable? b and a, in that order.